{"formula": "Rb2MgPbI6", "functional": "PBE-GGA", "state": "relaxed", "energy_ev_per_cell": -27.02, "e_form_raw_ev_per_fu": -10.48, "magmom_total_mub_per_cell": 0.00, "sg": "Fm-3m, No. 225", "cell": [[8.6532, 0.0000, 0.0000], [0.0000, 8.6532, 0.0000], [4.3266, 4.3266, 6.1198]], "species": ["I", "I", "I", "I", "I", "I", "Rb", "Rb", "Pb", "Mg"], "frac_coords": [[0.2608, 0.7392, 0.0000], [0.2608, 0.2608, 0.4785], [0.2608, 0.2608, 0.0000], [0.7392, 0.2608, 0.0000], [0.7392, 0.7392, 0.0000], [0.7392, 0.7392, 0.5215], [0.7500, 0.2500, 0.5000], [0.2500, 0.7500, 0.5000], [0.0000, 0.0000, 0.0000], [0.5000, 0.5000, 0.0000]]}